(1)
SrV2Cr: relaxed, GGA-PBE.

**Raw total energy**: -6.35 eV per atom
**Spin magnetization**: 2.96 μB/cell
**Calculated density**: 5.13 g/cm³
**Formation energy**: 1.0350 eV/atom
**DOS(E_F)**: 5.41 states/eV/cell
**Energy above the most stable polymorph in this dataset**: 0.000 eV/atom

Cell lengths 4.8007, 4.8007, 4.8007 Å; angles 60.00, 60.00, 60.00 degrees
Last column: nearest neighbours and their distance in Å.
Element x y z (fractional)
Cr: 0.0000 0.0000 0.0000  8 V 2.94
Sr: 0.5000 0.5000 0.5000  8 V 2.94
V: 0.7500 0.7500 0.7500  4 Sr 2.94, 4 Cr 2.94
V: 0.2500 0.2500 0.2500  4 Sr 2.94, 4 Cr 2.94

=====

(2)
SrVCr2: relaxed, GGA-PBE.

**Raw total energy**: -6.35 eV per atom
**Spin magnetization**: 7.61 μB/cell
**Calculated density**: 3.97 g/cm³
**Formation energy**: 1.1575 eV/atom
**DOS(E_F)**: 7.73 states/eV/cell
**Energy above the most stable polymorph in this dataset**: 0.193 eV/atom

Cell lengths 5.0072, 5.0072, 8.8281 Å; angles 73.53, 73.53, 90.00 degrees
Last column: nearest neighbours and their distance in Å.
Element x y z (fractional)
Cr: 0.3750 0.6250 0.2500  2 V 2.38, 2 Cr 2.50
Cr: 0.3750 0.1250 0.2500  2 V 2.38, 2 Cr 2.50
Cr: 0.8750 0.6250 0.7500  2 V 2.38, 2 Cr 2.50
Cr: 0.3750 0.6250 0.7500  2 V 2.38, 2 Cr 2.50
V: 0.2500 0.7500 0.5000  4 Cr 2.38
V: 0.5000 0.5000 0.0000  4 Cr 2.38
Sr: 0.7500 0.2500 0.5000  8 Cr 3.45, 4 V 3.54
Sr: 0.0000 0.0000 0.0000  8 Cr 3.45, 4 V 3.54